1.
VASP calculation (PBE with a Hubbard U) on crystalline K4NaNi3F12 at its relaxed geometry.

* symmetry: Im-3m (229)

Unit cell a=7.120 b=7.120 c=7.120 alpha=109.47 beta=109.47 gamma=109.47
Last column: magnetic moment on the atom in μB.
Positions (direct):
F  0.000  0.731  0.731  -0.03
F  0.000  0.269  0.269  -0.03
F  0.500  0.750  0.250  0.01
F  0.500  0.250  0.750  0.01
F  0.750  0.250  0.500  0.01
F  0.269  0.000  0.269  -0.03
F  0.750  0.500  0.250  0.01
F  0.731  0.000  0.731  -0.03
F  0.250  0.500  0.750  0.01
F  0.250  0.750  0.500  0.01
F  0.731  0.731  0.000  -0.03
F  0.269  0.269  0.000  -0.03
K  0.500  0.500  0.500  0.00
K  0.500  0.000  0.000  0.00
K  0.000  0.000  0.500  0.00
K  0.000  0.500  0.000  0.00
Ni  0.500  0.500  0.000  1.70
Ni  0.500  0.000  0.500  1.70
Ni  0.000  0.500  0.500  1.70
Na  0.000  0.000  0.000  0.00

=====

2.
VASP calculation (PBE with a Hubbard U) on crystalline KNaNiF2 at its relaxed geometry.

* symmetry: P4/mmm (123)

Unit cell a=4.889 b=5.014 c=4.889 alpha=90.00 beta=90.00 gamma=90.00
Last column: magnetic moment on the atom in μB.
Positions (direct):
F  0.000  0.000  0.500  0.01
F  0.500  0.000  0.000  0.01
K  0.000  0.000  0.000  0.01
Na  0.500  0.500  0.500  0.00
Ni  0.000  0.500  0.000  1.02

=====

3.
VASP calculation (PBE with a Hubbard U) on crystalline K2NaNi3F12 at its relaxed geometry.

* symmetry: R-3m (166)

Unit cell a=6.938 b=6.938 c=6.938 alpha=63.59 beta=63.59 gamma=63.59
Last column: magnetic moment on the atom in μB.
Positions (direct):
F  0.119  0.588  0.119  -0.06
F  0.119  0.119  0.588  -0.06
F  0.412  0.881  0.881  -0.06
F  0.710  0.108  0.710  0.04
F  0.881  0.412  0.881  -0.06
F  0.881  0.881  0.412  -0.06
F  0.588  0.119  0.119  -0.06
F  0.290  0.290  0.892  0.04
F  0.710  0.710  0.108  0.04
F  0.108  0.710  0.710  0.04
F  0.892  0.290  0.290  0.04
F  0.290  0.892  0.290  0.04
Ni  0.000  0.000  0.500  1.06
Ni  0.500  0.000  0.000  1.06
Ni  0.000  0.500  0.000  1.06
K  0.385  0.385  0.385  0.00
K  0.615  0.615  0.615  0.00
Na  0.000  0.000  0.000  0.00

=====

Quick rundown of E_tot, same order as above: -4.237 -2.594 -3.988 eV per atom